Entry from Alexandria: a geometry-optimized La2PdPt structure (PBE).

Cell lengths 4.2134, 4.2134, 7.6326 Å; angles 73.98, 73.98, 60.00 degrees
With the nearest neighbours (Å) after each atom.
Fractional positions:
La1 0.0783 0.0783 0.7651  3 Pt 2.98, 3 Pd 3.12
La2 0.2543 0.2543 0.2370  3 Pt 2.97, 3 Pd 3.07
Pt1 0.6660 0.6660 0.0020  6 La 2.97-2.98
Pd1 0.5013 0.5013 0.4960  6 La 3.07-3.12

Output
crystal system = trigonal
energy = -0.227 Ha/atom
space-group type = R3m (160)
DFT formation energy = -3.6 eV per formula unit
DOS at the Fermi energy = 2.10 states/eV/f.u.